1.
A plane-wave DFT calculation with GGA+U was carried out for a relaxed MnNiPO2 crystal.

## Properties
- ΔE to the lowest computed polymorph: 70 kJ/mol of formula units
- M_tot: 3.9 μB/f.u.
- Uncorrected energy: -5.046 eV per atom

Lattice parameters (Å, degrees): 3.719 3.719 4.621 90.00 90.00 90.00
Site moments in Bohr magnetons follow the coordinates.
Sites, in units of the cell vectors:
Ni  0.000  0.000  0.000  0.60
Mn  0.500  0.500  0.500  4.46
O  0.000  0.500  0.000  -0.36
O  0.500  0.000  0.000  -0.36
P  0.000  0.000  0.500  -0.31

=====

2.
A plane-wave DFT calculation with GGA+U was carried out for a relaxed MnNiP2O8 crystal.

## Properties
- ΔE to the lowest computed polymorph: 0 kJ/mol of formula units
- M_tot: 5.0 μB/f.u.
- Uncorrected energy: -6.820 eV per atom

Lattice parameters (Å, degrees): 8.411 8.411 8.411 60.76 60.76 60.76
Site moments in Bohr magnetons follow the coordinates.
Sites, in units of the cell vectors:
Mn  0.642  0.642  0.642  3.15
Mn  0.858  0.858  0.858  3.26
Mn  0.359  0.359  0.359  3.23
Ni  0.002  0.002  0.002  1.82
Ni  0.140  0.140  0.140  1.79
Ni  0.502  0.502  0.502  1.82
P  0.959  0.248  0.542  0.01
P  0.542  0.959  0.248  0.01
P  0.248  0.542  0.959  0.01
P  0.747  0.460  0.040  0.01
P  0.460  0.040  0.747  0.01
P  0.040  0.747  0.460  0.01
O  0.511  0.123  0.305  -0.02
O  0.305  0.511  0.123  -0.02
O  0.123  0.305  0.511  -0.02
O  0.944  0.085  0.746  -0.04
O  0.982  0.192  0.387  -0.01
O  0.755  0.412  0.569  -0.03
O  0.746  0.944  0.085  -0.04
O  0.569  0.755  0.412  -0.03
O  0.818  0.616  0.005  -0.03
O  0.412  0.569  0.755  -0.03
O  0.902  0.261  0.051  0.03
O  0.616  0.005  0.818  -0.03
O  0.387  0.982  0.192  -0.01
O  0.085  0.746  0.944  -0.04
O  0.580  0.453  0.242  -0.04
O  0.192  0.387  0.982  -0.01
O  0.453  0.242  0.580  -0.04
O  0.261  0.051  0.902  0.03
O  0.242  0.580  0.453  -0.04
O  0.005  0.818  0.616  -0.03
O  0.051  0.902  0.261  0.03
O  0.889  0.663  0.513  0.01
O  0.663  0.513  0.889  0.01
O  0.513  0.889  0.663  0.01

=====

3.
A plane-wave DFT calculation with GGA+U was carried out for a relaxed MnNiP2O8 crystal.

## Properties
- ΔE to the lowest computed polymorph: 8 kJ/mol of formula units
- M_tot: 5.0 μB/f.u.
- Uncorrected energy: -6.813 eV per atom

Lattice parameters (Å, degrees): 4.770 9.843 5.758 90.00 90.00 89.49
Site moments in Bohr magnetons follow the coordinates.
Sites, in units of the cell vectors:
Mn  0.047  0.723  0.750  3.47
Mn  0.953  0.277  0.250  3.47
Ni  0.554  0.768  0.250  1.77
Ni  0.446  0.232  0.750  1.77
P  0.391  0.095  0.250  0.02
P  0.609  0.905  0.750  0.02
P  0.904  0.413  0.750  0.01
P  0.096  0.587  0.250  0.01
O  0.654  0.056  0.750  -0.05
O  0.346  0.944  0.250  -0.05
O  0.707  0.125  0.250  -0.04
O  0.293  0.875  0.750  -0.04
O  0.219  0.399  0.750  0.00
O  0.781  0.601  0.250  0.00
O  0.184  0.434  0.250  -0.03
O  0.816  0.566  0.750  -0.03
O  0.229  0.171  0.046  -0.08
O  0.229  0.171  0.454  -0.08
O  0.771  0.829  0.546  -0.08
O  0.771  0.829  0.954  -0.08
O  0.756  0.338  0.961  -0.03
O  0.756  0.338  0.539  -0.03
O  0.244  0.662  0.039  -0.03
O  0.244  0.662  0.461  -0.03

=====

4.
A plane-wave DFT calculation with GGA+U was carried out for a relaxed MnNiPO2 crystal.

## Properties
- ΔE to the lowest computed polymorph: 0 kJ/mol of formula units
- M_tot: 4.0 μB/f.u.
- Uncorrected energy: -5.192 eV per atom

Lattice parameters (Å, degrees): 3.645 3.645 5.164 90.00 90.00 90.00
Site moments in Bohr magnetons follow the coordinates.
Sites, in units of the cell vectors:
Ni  0.500  0.500  0.500  1.53
Mn  0.000  0.000  0.000  3.28
O  0.000  0.500  0.000  -0.21
O  0.500  0.000  0.000  -0.21
P  0.000  0.000  0.500  -0.26